RbAgTe2Mo: optimized geometry, PBE-GGA.

Cell and atoms, written as CIF:
```
data_RbAgTe2Mo
_chemical_formula_sum 'Rb1 Ag1 Te2 Mo1'
_symmetry_space_group_name_H-M 'P 1'
_symmetry_Int_Tables_number 1
_symmetry_space_group_name_Hall 'P 1'
_cell_length_a 5.5912
_cell_length_b 5.6165
_cell_length_c 5.5912
_cell_angle_alpha 90.00
_cell_angle_beta 90.00
_cell_angle_gamma 90.00
loop_
_atom_site_label
_atom_site_fract_x
_atom_site_fract_y
_atom_site_fract_z
Mo1 0.5000 0.5000 0.5000
Te1 0.0000 0.0000 0.5000
Te2 0.5000 0.0000 0.0000
Rb1 0.0000 0.5000 0.0000
Ag1 0.0000 0.0000 0.0000
```

Values from the calculation:
final energy	-16.5	eV for the cell shown
crystal system	tetragonal
energy relative to the elements, uncorrected	0.8824	eV/atom
space group	P4/mmm (123)